{
  "formula": "NaNb2TlO6",
  "functional": "PBE",
  "state": "optimized geometry",
  "vol_a3_per_cell": 390,
  "crystal_system": "monoclinic",
  "final_energy_ev_per_atom": -7.53,
  "raw_formation_energy_ev_per_atom": -2.17,
  "lattice_angstrom": [[6.732, -0.074, -0.077], [2.060, 7.657, -0.802], [2.060, -1.085, 7.622]],
  "species": ["Na", "Na", "Nb", "Nb", "Nb", "Nb", "Tl", "Tl", "O", "O", "O", "O", "O", "O", "O", "O", "O", "O", "O", "O"],
  "fractional_positions": [[0.250, 0.201, 0.799], [0.750, 0.799, 0.201], [0.319, 0.723, 0.579], [0.181, 0.421, 0.277], [0.681, 0.277, 0.421], [0.819, 0.579, 0.723], [0.250, 0.892, 0.108], [0.750, 0.108, 0.892], [0.205, 0.916, 0.768], [0.295, 0.232, 0.084], [0.795, 0.084, 0.232], [0.705, 0.768, 0.916], [0.421, 0.810, 0.391], [0.079, 0.609, 0.190], [0.579, 0.190, 0.609], [0.921, 0.391, 0.810], [0.060, 0.642, 0.574], [0.440, 0.426, 0.358], [0.940, 0.358, 0.426], [0.560, 0.574, 0.642]]
}

---

{
  "formula": "ErSnPt4",
  "functional": "PBE",
  "state": "optimized geometry",
  "e_form_ev_per_fu": -4.55,
  "vol_a3_per_cell": 111,
  "crystal_system": "cubic",
  "final_energy_ev_per_atom": -6.21,
  "lattice_angstrom": [[5.402, 0.000, 0.000], [2.701, 4.678, 0.000], [2.701, 1.559, 4.411]],
  "species": ["Sn", "Pt", "Pt", "Pt", "Pt", "Er"],
  "fractional_positions": [[0.000, 0.000, 0.000], [0.625, 0.625, 0.125], [0.625, 0.125, 0.625], [0.625, 0.625, 0.625], [0.125, 0.625, 0.625], [0.250, 0.250, 0.250]]
}